(1)
Computed, not measured: crystalline LiSb2TeF at its relaxed geometry at the PBE level of DFT.

Computed properties:
Symmetry: P4/mmm, No. 123
Density in kg/m³: 5548
E in eV per atom: -3.0729

a = 4.931 Å, b = 4.931 Å, c = 4.889 Å
α = 90.00°, β = 90.00°, γ = 90.00°
Fractional positions:
1 Li 0.000 0.000 0.000
2 Sb 0.000 0.500 0.000
3 Sb 0.500 0.000 0.000
4 Te 0.000 0.000 0.500
5 F 0.500 0.500 0.500

=====

(2)
Computed, not measured: crystalline LiSbTe2F at its relaxed geometry at the PBE level of DFT.

Computed properties:
Symmetry: P4/mmm, No. 123
Density in kg/m³: 5124
E in eV per atom: -3.1466

a = 5.405 Å, b = 5.405 Å, c = 4.469 Å
α = 90.00°, β = 90.00°, γ = 90.00°
Fractional positions:
1 Li 0.000 0.000 0.000
2 Sb 0.500 0.500 0.000
3 Te 0.000 0.500 0.500
4 Te 0.500 0.000 0.500
5 F 0.500 0.500 0.500

=====

(3)
Computed, not measured: crystalline Li2TiSbF at its relaxed geometry at the PBE level of DFT.

Computed properties:
Symmetry: P4/mmm, No. 123
Density in kg/m³: 1956
E in eV per atom: -3.2592

a = 5.833 Å, b = 5.833 Å, c = 5.054 Å
α = 90.00°, β = 90.00°, γ = 90.00°
Fractional positions:
1 Li 0.000 0.500 0.000
2 Li 0.500 0.000 0.000
3 Ti 0.000 0.000 0.000
4 Sb 0.000 0.000 0.500
5 F 0.500 0.500 0.500

=====

(4)
Computed, not measured: crystalline LiTlSbF2 at its relaxed geometry at the PBE level of DFT.

Computed properties:
Symmetry: P4/mmm, No. 123
Density in kg/m³: 5081
E in eV per atom: -3.3956

a = 4.525 Å, b = 4.525 Å, c = 5.923 Å
α = 90.00°, β = 90.00°, γ = 90.00°
Fractional positions:
1 Li 0.000 0.000 0.000
2 Tl 0.500 0.500 0.500
3 Sb 0.500 0.500 0.000
4 F 0.000 0.500 0.500
5 F 0.500 0.000 0.500

=====

> What is the formula in the fourth record?

LiTlSbF2

=====

Copy entry 2 word for word.
Computed, not measured: crystalline LiSbTe2F at its relaxed geometry at the PBE level of DFT.

Computed properties:
Symmetry: P4/mmm, No. 123
Density in kg/m³: 5124
E in eV per atom: -3.1466

a = 5.405 Å, b = 5.405 Å, c = 4.469 Å
α = 90.00°, β = 90.00°, γ = 90.00°
Fractional positions:
1 Li 0.000 0.000 0.000
2 Sb 0.500 0.500 0.000
3 Te 0.000 0.500 0.500
4 Te 0.500 0.000 0.500
5 F 0.500 0.500 0.500